# 1
TbHPd3 | PBE-GGA | optimized geometry

space-group type = No. 221
DOS(E_F) = 0.097 states/eV per atom
magnetization = 0.00 μB per formula unit
total DFT energy (no corrections) = -5.415 eV per atom

POSCAR file:
```
TbHPd3
1.0
4.1714 0.0000 0.0000
0.0000 4.1714 0.0000
0.0000 0.0000 4.1714
Tb H Pd
1 1 3
Cartesian
0.0000 0.0000 0.0000
2.0857 2.0857 2.0857
0.0000 2.0857 2.0857
2.0857 0.0000 2.0857
2.0857 2.0857 0.0000
```

# 2
Nd6Er3Tl | PBE-GGA | optimized geometry

excess energy over the best structure of this formula in the dataset = 0 meV per atom
ΔH_f (0 K) = 0.02 eV per atom
space-group type = No. 11
DOS(E_F) = 1.367 states/eV per atom
magnetization = 0.00 μB per formula unit

POSCAR file:
```
Nd6Er3Tl
1.0
12.4372 0.0000 0.0000
0.0000 3.6281 0.0000
-1.0209 0.0000 14.8300
Nd Er Tl
12 6 2
Cartesian
0.3800 0.9070 5.7887
0.5178 2.7210 14.1405
1.7483 0.9070 11.1498
3.3447 2.7210 4.6390
3.7431 0.9070 1.5981
4.3214 0.9070 7.4001
7.0950 2.7210 7.4299
7.6733 2.7210 13.2319
8.0717 0.9070 10.1910
9.6680 2.7210 3.6802
10.8985 0.9070 0.6896
11.0363 2.7210 9.0413
0.7184 2.7210 2.6909
4.0385 2.7210 13.6442
4.8870 2.7210 10.3608
6.5293 0.9070 4.4693
7.3779 0.9070 1.1859
10.6979 0.9070 12.1391
1.7870 2.7210 8.2783
9.6294 0.9070 6.5517
```

# 3
NiRuN3 | PBE-GGA | optimized geometry

space-group type = No. 221
DOS(E_F) = 0.861 states/eV per atom
magnetization = 0.00 μB per formula unit
ΔE_f (raw) = 1759 meV per atom

POSCAR file:
```
NiRuN3
1.0
3.6147 0.0000 0.0000
0.0000 3.6147 0.0000
0.0000 0.0000 3.6147
Ni Ru N
1 1 3
Cartesian
0.0000 0.0000 0.0000
1.8073 1.8073 1.8073
0.0000 0.0000 1.8073
0.0000 1.8073 0.0000
1.8073 0.0000 0.0000
```

# 4
Zr2ScSe5 | PBE-GGA | optimized geometry

space-group type = No. 69
DOS(E_F) = 0.262 states/eV per atom
magnetization = 0.00 μB per formula unit
ΔE_f (raw) = -1242 meV per atom

POSCAR file:
```
Zr2ScSe5
1.0
0.0000 4.4690 7.4776
2.5972 0.0000 7.4776
2.5972 4.4690 0.0000
Zr Sc Se
2 1 5
Cartesian
2.5972 4.4690 2.7184
2.5972 4.4690 12.2368
2.5972 4.4690 7.4776
0.0000 0.0000 0.0000
2.5972 2.9972 5.1287
2.5972 2.9972 9.8265
2.5972 5.9407 5.1287
2.5972 5.9407 9.8265
```